VASP calculation (PBE) on crystalline NaTlHg at its relaxed geometry.

Unit cell a=5.2778 b=6.6473 c=9.3604 alpha=90.00 beta=90.01 gamma=90.00
Element x y z (fractional)
Na 0.7497 0.8027 0.9224
Na 0.2497 0.6973 0.4224
Na 0.2503 0.1973 0.0776
Na 0.7503 0.3027 0.5776
Tl 0.2505 0.5196 0.7706
Tl 0.7495 0.4804 0.2294
Tl 0.7505 0.9804 0.2706
Tl 0.2495 0.0196 0.7294
Hg 0.7504 0.2903 0.9096
Hg 0.2496 0.7097 0.0904
Hg 0.7496 0.7903 0.5904
Hg 0.2504 0.2097 0.4096

Values from the calculation:
Total magnetization = 0.000 μB/f.u.
Excess energy over the best structure of this formula in the dataset = 0.007 eV per atom
Energy of formation from the pure elements = -0.157 eV per atom
Calculated total energy = -1.486 eV per atom